4
Lattice="-1.200 1.014 -3.630 1.736 -4.536 -1.841 -4.635 -2.151 0.932" Properties=species:S:1:pos:R:3 comment="Nd2SbPd, optimized geometry, DFT PBE" sg="No. 123" formation_energy_uncorrected_ev_per_atom=-0.79 pbc="T T T"
Nd -2.317 -1.076 0.466
Nd 0.868 -2.268 -0.920
Pd -0.600 0.507 -1.815
Sb -2.050 -2.837 -2.270



4
Lattice="4.238 0.000 0.000 0.000 4.772 0.000 0.000 0.000 4.772" Properties=species:S:1:pos:R:3 comment="NdSb2Pd, optimized geometry, DFT PBE" sg="No. 123" relative_energy_ev_per_atom=0.000 formation_energy_uncorrected_ev_per_atom=-0.63 pbc="T T T"
Sb 0.000 0.000 2.386
Sb 0.000 2.386 0.000
Pd 2.119 0.000 0.000
Nd 2.119 2.386 2.386